(1)
Crystalline SrCaCu3 at its relaxed geometry, computed with PBE.

abc: 5.3155 5.3155 5.3155
angles: 90.00 90.00 90.00
Element x y z (fractional)
1 Sr 0.0000 0.0000 0.0000
2 Ca 0.5000 0.5000 0.5000
3 Cu 0.0000 0.5000 0.0000
4 Cu 0.0000 0.0000 0.5000
5 Cu 0.5000 0.0000 0.0000

Summary:
ΔE_f in meV/atom: 756
Fermi-level density of states in states/eV per cell: 1.86
E above lowest polymorph in meV/atom: 860
Energy in eV per atom: -2.439
SG: Pm-3m (221)

(2)
Crystalline FeSb2ICl at its relaxed geometry, computed with PBE.

abc: 5.0050 5.0050 5.3582
angles: 90.00 90.00 90.00
Site moments in Bohr magnetons follow the coordinates.
Element x y z (fractional)
1 I 0.0000 0.0000 0.5000  0.02
2 Sb 0.0000 0.5000 0.0000  -0.03
3 Sb 0.5000 0.0000 0.0000  -0.03
4 Fe 0.0000 0.0000 0.0000  1.97
5 Cl 0.5000 0.5000 0.5000  0.04

Summary:
Fermi-level density of states in states/eV per cell: 4.63
E_form (uncorrected) in eV/atom: 0.241
E above lowest polymorph in meV/atom: 0
Energy in eV per atom: -3.780
SG: P4/mmm (123)

(3)
Crystalline Ca2Pr4Y at its relaxed geometry, computed with PBE.

abc: 3.6123 5.9685 12.5091
angles: 103.82 98.30 90.00
Element x y z (fractional)
1 Pr 0.0805 0.5808 0.1611
2 Pr 0.9195 0.4192 0.8389
3 Pr 0.3693 0.8691 0.7386
4 Pr 0.6307 0.1309 0.2614
5 Y 0.0000 0.0000 0.0000
6 Ca 0.2786 0.2785 0.5572
7 Ca 0.7214 0.7215 0.4428

Summary:
ΔE_f in meV/atom: 108
Fermi-level density of states in states/eV per cell: 10.69
Energy in eV per atom: -4.118
SG: Immm (71)

(4)
Crystalline Dy3Mg7Cd2 at its relaxed geometry, computed with PBE.

abc: 5.9998 5.9998 10.2060
angles: 72.91 72.91 60.00
Element x y z (fractional)
1 Dy 0.0000 0.0000 0.0000
2 Dy 0.8554 0.8554 0.4337
3 Dy 0.1446 0.1446 0.5663
4 Mg 0.5000 0.5000 0.5000
5 Mg 0.9222 0.4149 0.2480
6 Mg 0.4149 0.9222 0.2480
7 Mg 0.4149 0.4149 0.2480
8 Mg 0.0778 0.5851 0.7520
9 Mg 0.5851 0.5851 0.7520
10 Mg 0.5851 0.0778 0.7520
11 Cd 0.6657 0.6657 0.0029
12 Cd 0.3343 0.3343 0.9971

Summary:
ΔE_f in meV/atom: -94
Fermi-level density of states in states/eV per cell: 10.74
E above lowest polymorph in meV/atom: 0
Energy in eV per atom: -2.327
SG: R-3m (166)

(5)
Crystalline AcGa5Rh2 at its relaxed geometry, computed with PBE.

abc: 4.1935 6.5677 6.5677
angles: 66.53 71.38 71.38
Element x y z (fractional)
1 Ac 0.0000 0.0000 0.0000
2 Ga 0.0000 0.5000 0.5000
3 Ga 0.6526 0.5389 0.1559
4 Ga 0.3474 0.4611 0.8441
5 Ga 0.3474 0.8441 0.4611
6 Ga 0.6526 0.1559 0.5389
7 Rh 0.7649 0.7351 0.7351
8 Rh 0.2351 0.2649 0.2649

Summary:
ΔE_f in meV/atom: -640
Fermi-level density of states in states/eV per cell: 4.09
Energy in eV per atom: -4.884
SG: Immm (71)

(6)
Crystalline SnHgN2F at its relaxed geometry, computed with PBE.

abc: 4.2050 4.2050 4.7544
angles: 90.00 90.00 90.00
Site moments in Bohr magnetons follow the coordinates.
Element x y z (fractional)
1 N 0.0000 0.5000 0.0000  0.65
2 N 0.5000 0.0000 0.0000  0.65
3 F 0.0000 0.0000 0.5000  0.00
4 Hg 0.0000 0.0000 0.0000  0.07
5 Sn 0.5000 0.5000 0.5000  -0.03

Summary:
Fermi-level density of states in states/eV per cell: 2.03
E_form (uncorrected) in eV/atom: 1.046
E above lowest polymorph in meV/atom: 570
Energy in eV per atom: -3.519
SG: P4/mmm (123)